Computed, not measured: a relaxed structure of CeMgAlGa2 at the GGA-PBE level of DFT.

abc: 6.472 6.472 6.472
angles: 141.55 141.55 55.51
Fractional positions:
Ce 0.000 0.000 0.000
Mg 0.250 0.750 0.500
Al 0.750 0.250 0.500
Ga 0.392 0.392 0.000
Ga 0.608 0.608 0.000

DFT formation energy in eV per atom: -0.408
VASP energy in eV/cell: -19.36
Magnetization in μB per formula unit: 0.970
Space-group type: I-4m2, No. 119